First-principles (GGA+U) data for an optimized crystal structure of RbNpMnO4, as listed in the Alexandria database.

a b c (Å): 7.427 6.862 7.123
angles (deg): 121.27 90.00 122.77
Site moments in Bohr magnetons follow the coordinates.
Sites, in units of the cell vectors:
Rb (0.889, 0.778, 0.139)  0.00
Rb (0.111, 0.222, 0.861)  0.00
Np (0.500, 0.000, 0.500)  -2.30
Np (0.500, 0.000, 0.000)  -2.30
Mn (0.500, 0.500, 0.500)  -4.62
Mn (0.000, 0.500, 0.500)  -4.62
O (0.722, 0.445, 0.671)  0.04
O (0.324, 0.013, 0.257)  0.04
O (0.689, 0.013, 0.257)  0.04
O (0.722, 0.445, 0.274)  0.04
O (0.278, 0.555, 0.726)  0.04
O (0.676, 0.987, 0.743)  0.04
O (0.311, 0.987, 0.743)  0.04
O (0.278, 0.555, 0.329)  0.04

**Space group**: Imma, No. 74
**E_tot**: -113.52 eV/cell